This record from Alexandria via LeMat-Bulk describes a relaxed structure of Tb2Dy4Er7. The functional is PBE.

Output
ΔE_f: 0.176 eV/atom
spin magnetization: 0.00 μB/f.u.
DOS(E_F): 17.0 states/eV per cell

CIF file:
```
data_Tb2Dy4Er7
_space_group_name_H-M_alt 'P -3 1 m'
_space_group_IT_number 162
_space_group_name_Hall '-P 3 2'
_cell_length_a 6.0007
_cell_length_b 6.0007
_cell_length_c 13.2004
_cell_angle_alpha 90.00
_cell_angle_beta 90.00
_cell_angle_gamma 120.00
loop_
_atom_site_label
_atom_site_fract_x
_atom_site_fract_y
_atom_site_fract_z
Tb1 0.3333 0.6667 0.0000
Dy1 0.0000 0.0000 0.3939
Dy2 0.3333 0.6667 0.5000
Er1 0.0000 0.0000 0.0000
Er2 0.0000 0.3525 0.2146
```

=====

This record from Alexandria via LeMat-Bulk describes a relaxed structure of Tb3Dy4Er. The functional is PBE.

Output
ΔE_f: 0.008 eV/atom
spin magnetization: 0.00 μB/f.u.
DOS(E_F): 26.1 states/eV per cell
energy above the lowest structure with this stoichiometry: 0 meV per atom

CIF file:
```
data_Tb3Dy4Er
_space_group_name_H-M_alt 'P m n 21'
_space_group_IT_number 31
_space_group_name_Hall 'P 2ac -2'
_cell_length_a 11.220
_cell_length_b 7.241
_cell_length_c 6.262
_cell_angle_alpha 90.00
_cell_angle_beta 90.00
_cell_angle_gamma 90.00
loop_
_atom_site_label
_atom_site_fract_x
_atom_site_fract_y
_atom_site_fract_z
Tb1 0.000 0.125 0.000
Tb2 0.250 0.125 0.333
Dy1 0.000 0.375 0.501
Dy2 0.000 0.625 0.000
Dy3 0.249 0.625 0.333
Er1 0.000 0.875 0.500
```

=====

This record from Alexandria via LeMat-Bulk describes a relaxed structure of Tb7DyEr2. The functional is PBE.

Output
ΔE_f: 0.050 eV/atom
spin magnetization: 0.00 μB/f.u.
DOS(E_F): 34.3 states/eV per cell
energy above the lowest structure with this stoichiometry: 0 meV per atom

CIF file:
```
data_Tb7DyEr2
_space_group_name_H-M_alt 'I m m m'
_space_group_IT_number 71
_space_group_name_Hall '-I 2 2'
_cell_length_a 5.423
_cell_length_b 6.990
_cell_length_c 16.673
_cell_angle_alpha 90.00
_cell_angle_beta 90.00
_cell_angle_gamma 90.00
loop_
_atom_site_label
_atom_site_fract_x
_atom_site_fract_y
_atom_site_fract_z
Tb1 0.000 0.000 0.000
Tb2 0.000 0.251 0.391
Tb3 0.000 0.500 0.199
Dy1 0.000 0.500 0.000
Er1 0.000 0.000 0.199
```

=====

This record from Alexandria via LeMat-Bulk describes a relaxed structure of TbDy4Er. The functional is PBE.

Output
ΔE_f: 0.149 eV/atom
spin magnetization: 0.00 μB/f.u.
DOS(E_F): 38.7 states/eV per cell
energy above the lowest structure with this stoichiometry: 133 meV per atom

CIF file:
```
data_TbDy4Er
_space_group_name_H-M_alt 'C 1 2/c 1'
_space_group_IT_number 15
_space_group_name_Hall '-C 2yc'
_cell_length_a 8.748
_cell_length_b 14.704
_cell_length_c 6.405
_cell_angle_alpha 90.00
_cell_angle_beta 111.54
_cell_angle_gamma 90.00
loop_
_atom_site_label
_atom_site_fract_x
_atom_site_fract_y
_atom_site_fract_z
Tb1 0.000 0.086 0.250
Dy1 0.092 0.303 0.540
Dy2 0.202 0.126 0.880
Er1 0.000 0.497 0.250
```

=====

This record from Alexandria via LeMat-Bulk describes a relaxed structure of Tb4DyEr7. The functional is PBE.

Output
ΔE_f: 0.089 eV/atom
spin magnetization: 0.00 μB/f.u.
DOS(E_F): 19.8 states/eV per cell
energy above the lowest structure with this stoichiometry: 0 meV per atom

CIF file:
```
data_Tb4DyEr7
_space_group_name_H-M_alt 'P -1'
_space_group_IT_number 2
_space_group_name_Hall '-P 1'
_cell_length_a 6.451
_cell_length_b 6.730
_cell_length_c 8.960
_cell_angle_alpha 85.44
_cell_angle_beta 76.84
_cell_angle_gamma 81.76
loop_
_atom_site_label
_atom_site_fract_x
_atom_site_fract_y
_atom_site_fract_z
Tb1 0.138 0.309 0.285
Tb2 0.339 0.883 0.691
Dy1 0.500 0.500 0.000
Er1 0.015 0.251 0.949
Er2 0.183 0.800 0.359
Er3 0.311 0.393 0.613
Er4 0.500 0.000 0.000
```

=====

This record from Alexandria via LeMat-Bulk describes a relaxed structure of Tb6DyEr12. The functional is PBE.

Output
ΔE_f: 0.458 eV/atom
spin magnetization: 0.02 μB/f.u.
DOS(E_F): 92.2 states/eV per cell
energy above the lowest structure with this stoichiometry: 298 meV per atom

CIF file:
```
data_Tb6DyEr12
_space_group_name_H-M_alt 'R -3 m'
_space_group_IT_number 166
_space_group_name_Hall '-R 3 2"'
_cell_length_a 14.7843
_cell_length_b 14.7843
_cell_length_c 10.2474
_cell_angle_alpha 90.00
_cell_angle_beta 90.00
_cell_angle_gamma 120.00
loop_
_atom_site_label
_atom_site_fract_x
_atom_site_fract_y
_atom_site_fract_z
Tb1 0.0718 0.5359 0.2195
Dy1 0.0000 0.0000 0.0000
Er1 0.0000 0.3879 0.5000
Er2 0.0780 0.1560 0.2544
```

=====

This record from Alexandria via LeMat-Bulk describes a relaxed structure of Tb2Dy5Er12. The functional is PBE.

Output
ΔE_f: 0.022 eV/atom
spin magnetization: 0.00 μB/f.u.
DOS(E_F): 26.2 states/eV per cell
energy above the lowest structure with this stoichiometry: 0 meV per atom

CIF file:
```
data_Tb2Dy5Er12
_space_group_name_H-M_alt 'P -1'
_space_group_IT_number 2
_space_group_name_Hall '-P 1'
_cell_length_a 6.086
_cell_length_b 9.301
_cell_length_c 10.535
_cell_angle_alpha 101.01
_cell_angle_beta 95.56
_cell_angle_gamma 90.10
loop_
_atom_site_label
_atom_site_fract_x
_atom_site_fract_y
_atom_site_fract_z
Tb1 0.079 0.316 0.474
Dy1 0.237 0.947 0.421
Dy2 0.342 0.368 0.052
Dy3 0.500 0.000 0.000
Er1 0.026 0.105 0.157
Er2 0.132 0.526 0.790
Er3 0.184 0.737 0.105
Er4 0.289 0.158 0.737
Er5 0.395 0.579 0.368
Er6 0.447 0.790 0.685
```

=====

This record from Alexandria via LeMat-Bulk describes a relaxed structure of Tb2Dy2Er3. The functional is PBE.

Output
ΔE_f: 0.018 eV/atom
spin magnetization: 0.00 μB/f.u.
DOS(E_F): 8.9 states/eV per cell

CIF file:
```
data_Tb2Dy2Er3
_space_group_name_H-M_alt 'P -1'
_space_group_IT_number 2
_space_group_name_Hall '-P 1'
_cell_length_a 3.520
_cell_length_b 6.099
_cell_length_c 10.590
_cell_angle_alpha 84.37
_cell_angle_beta 90.00
_cell_angle_gamma 73.30
loop_
_atom_site_label
_atom_site_fract_x
_atom_site_fract_y
_atom_site_fract_z
Tb1 0.214 0.071 0.356
Dy1 0.071 0.358 0.787
Er1 0.357 0.786 0.929
Er2 0.500 0.500 0.500
```

=====

This record from Alexandria via LeMat-Bulk describes a relaxed structure of Tb3Dy2Er4. The functional is PBE.

Output
ΔE_f: 0.103 eV/atom
spin magnetization: 0.00 μB/f.u.
DOS(E_F): 53.5 states/eV per cell
energy above the lowest structure with this stoichiometry: 84 meV per atom

CIF file:
```
data_Tb3Dy2Er4
_space_group_name_H-M_alt 'C 1 2/c 1'
_space_group_IT_number 15
_space_group_name_Hall '-C 2yc'
_cell_length_a 16.168
_cell_length_b 11.462
_cell_length_c 6.053
_cell_angle_alpha 90.00
_cell_angle_beta 96.14
_cell_angle_gamma 90.00
loop_
_atom_site_label
_atom_site_fract_x
_atom_site_fract_y
_atom_site_fract_z
Tb1 0.000 0.097 0.250
Tb2 0.166 0.403 0.088
Dy1 0.121 0.141 0.820
Er1 0.046 0.359 0.515
Er2 0.214 0.140 0.348
```

=====

This record from Alexandria via LeMat-Bulk describes a relaxed structure of TbDy8Er5. The functional is PBE.

Output
ΔE_f: 0.257 eV/atom
spin magnetization: 0.00 μB/f.u.
DOS(E_F): 42.4 states/eV per cell

CIF file:
```
data_TbDy8Er5
_space_group_name_H-M_alt 'I -4'
_space_group_IT_number 82
_space_group_name_Hall 'I -4'
_cell_length_a 9.461
_cell_length_b 9.461
_cell_length_c 10.060
_cell_angle_alpha 90.00
_cell_angle_beta 90.00
_cell_angle_gamma 90.00
loop_
_atom_site_label
_atom_site_fract_x
_atom_site_fract_y
_atom_site_fract_z
Tb1 0.000 0.000 0.000
Dy1 0.070 0.176 0.347
Dy2 0.089 0.327 0.003
Er1 0.000 0.500 0.250
Er2 0.111 0.291 0.676
```